# 1
## In2HOs (PBE-GGA)

Data for a relaxed In2HOs crystal.

Values from the calculation:
Its space group is Fm-3m (225). The excess energy over the best structure of this formula in the dataset comes out at 0.00 eV per formula unit. For the total magnetization, the calculation gives 0.8 μB per cell.

Cell and atoms, written as extended XYZ:
```
4
Lattice="0.000 3.227 3.227 3.227 0.000 3.227 3.227 3.227 0.000" Properties=species:S:1:pos:R:3 pbc="T T T"
H 0.000 0.000 0.000
In 4.840 4.840 4.840
In 1.613 1.613 1.613
Os 3.227 3.227 3.227
```

# 2
## InH2Os (PBE-GGA)

Data for a relaxed InH2Os crystal.

Values from the calculation:
Its space group is I-42d (122). The excess energy over the best structure of this formula in the dataset comes out at 0.00 eV per formula unit. For the total magnetization, the calculation gives 0.0 μB per cell.

Cell and atoms, written as extended XYZ:
```
8
Lattice="3.966 0.000 0.000 0.000 3.966 0.000 1.983 1.983 5.885" Properties=species:S:1:pos:R:3 pbc="T T T"
H 4.957 1.989 4.414
H 2.974 1.977 4.414
H 3.972 0.991 1.471
H 3.959 2.974 1.471
Os 3.966 1.983 2.943
Os 0.000 0.000 0.000
In 1.983 3.966 2.943
In 1.983 1.983 0.000
```